# 1
PmBiS3 | Alexandria | PBE-GGA | optimized geometry; calculated volume = 26.0 Å³/atom; ΔE to the lowest computed polymorph = 186.6 meV per atom
1.0
7.2834 0.0000 -0.7035
0.0000 8.2500 0.0000
1.1340 0.0000 8.5429
Bi Pm S
4 4 12
direct
0.4916 0.3061 0.2458
0.0084 0.8061 0.2542
0.9916 0.1939 0.7458
0.5084 0.6939 0.7542
0.0050 0.3737 0.2475
0.4950 0.8737 0.2525
0.9950 0.6263 0.7525
0.5050 0.1263 0.7475
0.6915 0.8762 0.5564
0.2302 0.8931 0.7530
0.8093 0.3759 0.5602
0.2698 0.3931 0.7470
0.7302 0.6069 0.2530
0.8085 0.3762 0.9436
0.1907 0.6241 0.4398
0.6907 0.8759 0.9398
0.7698 0.1069 0.2470
0.3093 0.1241 0.0602
0.3085 0.1238 0.4436
0.1915 0.6238 0.0564

# 2
BaV3Ru | Alexandria | PBE-GGA | optimized geometry; density of states at the Fermi level = 4.26 states/eV/cell; calculated volume = 22.9 Å³/atom; ΔE to the lowest computed polymorph = 0.0 meV per atom; ΔE_f = 0.7780 eV per atom
1.0
-1.9853 4.2194 -1.3481
-0.9487 -1.8481 -4.3871
-4.3267 -1.5308 1.5805
V Ba Ru
3 1 1
direct
0.0000 0.0000 0.5000
0.0000 0.5000 0.0000
0.5000 0.0000 0.0000
0.5000 0.5000 0.5000
0.0000 0.0000 0.0000

# 3
CsC2 | Alexandria | PBE-GGA | optimized geometry; density of states at the Fermi level = 2.35 states/eV/cell; calculated volume = 19.2 Å³/atom; ΔE to the lowest computed polymorph = 0.0 meV per atom; ΔE_f = 0.9330 eV per atom
1.0
4.8142 3.9610 1.6402
-5.7802 -2.7643 0.7104
2.7043 -4.7479 3.5286
C Cs
4 2
direct
0.6384 0.3616 0.7500
0.1239 0.8761 0.7500
0.8761 0.1239 0.2500
0.3616 0.6384 0.2500
0.6207 0.3793 0.2500
0.3793 0.6207 0.7500

Summary of energy in eV/atom
-5.1941; -6.9329; -5.5008
(order as listed above)